# LaCdW2O | Alexandria via LeMat-Bulk | PBE+U | relaxed
# **ρ**: 10561 kg/m3
# **VASP energy**: -4.93 eV per atom
# **DOS at the Fermi energy**: 0.6091 states/eV per atom
data_LaCdW2O
_space_group_name_H-M_alt 'P 4/m m m'
_space_group_IT_number 123
_space_group_name_Hall '-P 4 2'
_cell_length_a 4.514
_cell_length_b 4.514
_cell_length_c 4.900
_cell_angle_alpha 90.00
_cell_angle_beta 90.00
_cell_angle_gamma 90.00
loop_
_atom_site_label
_atom_site_type_symbol
_atom_site_fract_x
_atom_site_fract_y
_atom_site_fract_z
La1 La 0.000 0.000 0.000
Cd1 Cd 0.500 0.500 0.000
W1 W 0.000 0.500 0.500
O1 O 0.000 0.000 0.500